VASP calculation (GGA-PBE) on a relaxed U2Ni6Ge crystal.

The structure belongs to space group P-3m1 (No. 164); the cell edges are 5.1431, 5.1431 and 5.6637 Å and the angles 90.00°, 90.00° and 120.00°. The inequivalent atoms are U at (0.3333, 0.6667, 0.3105), Ni at (0.1738, 0.3475, 0.8288) and Ge at (0.0000, 0.0000, 0.5000).

The formation energy comes out at -0.279 eV per atom. The density of states at the Fermi level comes out at 11.34 states/eV per cell.